# 1
AlIr2: optimized geometry, GGA-PBE.

## Properties
calculated total energy: -7.1157 eV/atom
total moment: 0.000 μB/atom

Cell lengths 4.064, 4.064, 2.910 Å; angles 90.00, 90.00, 90.00 degrees
Fractional positions:
Al 0.000 0.000 0.000
Ir 0.000 0.500 0.500
Ir 0.500 0.000 0.500

# 2
AlIr: optimized geometry, GGA-PBE.

## Properties
calculated total energy: -6.9592 eV/atom
total moment: 0.000 μB/atom

Cell lengths 5.300, 5.300, 5.300 Å; angles 147.65, 133.60, 57.69 degrees
Fractional positions:
Al 0.365 0.115 0.250
Al 0.635 0.885 0.750
Ir 0.133 0.383 0.750
Ir 0.867 0.617 0.250

# 3
Al6Ir5: optimized geometry, GGA-PBE.

## Properties
calculated total energy: -6.9715 eV/atom
total moment: 0.000 μB/atom

Cell lengths 7.357, 7.357, 7.357 Å; angles 146.27, 132.94, 59.14 degrees
Fractional positions:
Al 0.078 0.338 0.740
Al 0.231 0.000 0.231
Al 0.402 0.662 0.740
Al 0.598 0.338 0.260
Al 0.769 0.000 0.769
Al 0.922 0.662 0.260
Ir 0.171 0.171 0.000
Ir 0.338 0.838 0.500
Ir 0.500 0.500 0.000
Ir 0.662 0.162 0.500
Ir 0.829 0.829 0.000

# 4
Al5Ir: optimized geometry, GGA-PBE.

## Properties
calculated total energy: -4.8745 eV/atom
total moment: 0.000 μB/atom

Cell lengths 6.291, 6.291, 3.888 Å; angles 90.00, 90.00, 143.54 degrees
Fractional positions:
Al 0.000 0.000 0.000
Al 0.159 0.841 0.500
Al 0.338 0.662 0.000
Al 0.662 0.338 0.000
Al 0.841 0.159 0.500
Ir 0.500 0.500 0.500

# 5
Al4Ir: optimized geometry, GGA-PBE.

## Properties
calculated total energy: -4.9848 eV/atom
total moment: 0.000 μB/atom

Cell lengths 4.997, 4.997, 4.997 Å; angles 109.47, 109.47, 109.47 degrees
Fractional positions:
Al 0.000 0.000 0.500
Al 0.000 0.500 0.000
Al 0.500 0.000 0.000
Al 0.500 0.500 0.500
Ir 0.000 0.000 0.000

# 6
AlIr: optimized geometry, GGA-PBE.

## Properties
calculated total energy: -6.8443 eV/atom
total moment: 0.000 μB/atom

Cell lengths 3.197, 3.197, 5.703 Å; angles 90.00, 90.00, 90.00 degrees
Fractional positions:
Al 0.250 0.250 0.137
Al 0.750 0.750 0.863
Ir 0.250 0.250 0.673
Ir 0.750 0.750 0.327

# 7
AlIr5: optimized geometry, GGA-PBE.

## Properties
calculated total energy: -8.2429 eV/atom
total moment: 0.000 μB/atom

Cell lengths 6.152, 6.152, 3.837 Å; angles 90.00, 90.00, 143.34 degrees
Fractional positions:
Al 0.000 0.000 0.000
Ir 0.167 0.833 0.500
Ir 0.331 0.669 0.000
Ir 0.500 0.500 0.500
Ir 0.669 0.331 0.000
Ir 0.833 0.167 0.500

# 8
AlIr5: optimized geometry, GGA-PBE.

## Properties
calculated total energy: -8.2041 eV/atom
total moment: 0.000 μB/atom

Cell lengths 4.774, 4.774, 4.394 Å; angles 90.00, 90.00, 120.00 degrees
Fractional positions:
Al 0.000 0.000 0.000
Ir 0.000 0.665 0.500
Ir 0.333 0.667 0.000
Ir 0.335 0.335 0.500
Ir 0.665 0.000 0.500
Ir 0.667 0.333 0.000

# 9
AlIr: optimized geometry, GGA-PBE.

## Properties
calculated total energy: -6.7501 eV/atom
total moment: 0.000 μB/atom

Cell lengths 3.528, 3.528, 5.915 Å; angles 90.00, 90.00, 120.00 degrees
Fractional positions:
Al 0.333 0.667 0.250
Al 0.667 0.333 0.750
Ir 0.000 0.000 0.000
Ir 0.000 0.000 0.500

# 10
AlIr: optimized geometry, GGA-PBE.

## Properties
calculated total energy: -6.6019 eV/atom
total moment: 0.000 μB/atom

Cell lengths 3.802, 3.802, 5.077 Å; angles 90.00, 90.00, 120.00 degrees
Fractional positions:
Al 0.000 0.000 0.000
Al 0.000 0.000 0.500
Ir 0.333 0.667 0.250
Ir 0.667 0.333 0.750

# 11
AlIr2: optimized geometry, GGA-PBE.

## Properties
calculated total energy: -7.6550 eV/atom
total moment: 0.000 μB/atom

Cell lengths 5.135, 5.135, 6.390 Å; angles 101.56, 101.56, 31.52 degrees
Fractional positions:
Al 0.000 0.000 0.000
Al 0.699 0.699 0.369
Ir 0.070 0.070 0.626
Ir 0.345 0.345 0.683
Ir 0.417 0.417 0.286
Ir 0.722 0.722 0.978

# 12
AlIr2: optimized geometry, GGA-PBE.

## Properties
calculated total energy: -7.3809 eV/atom
total moment: 0.000 μB/atom

Cell lengths 4.862, 4.862, 4.862 Å; angles 104.81, 104.81, 119.25 degrees
Fractional positions:
Al 0.250 0.250 0.000
Al 0.750 0.750 0.000
Ir 0.154 0.654 0.808
Ir 0.346 0.154 0.500
Ir 0.654 0.846 0.500
Ir 0.846 0.346 0.192

| no. | D(E_F) (states/eV/cell) |
| --- | --- |
| 1 | 3.64 |
| 2 | 2.18 |
| 3 | 1.99 |
| 4 | 3.34 |
| 5 | 3.68 |
| 6 | 3.34 |
| 7 | 6.50 |
| 8 | 4.62 |
| 9 | 3.18 |
| 10 | 0.92 |
| 11 | 2.80 |
| 12 | 4.64 |